No. 1
VASP calculation (GGA-PBE) on crystalline Mn3Fe at its relaxed geometry.

It has space group C2/m (No. 12), with a = 8.2409 Å, b = 2.4762 Å, c = 4.2824 Å, α = 90.00°, β = 99.79° and γ = 90.00°. Symmetry generates all atoms from Mn at (0.0000, 0.0000, 0.0000), Mn at (0.2482, 0.0000, 0.7459) and Fe at (0.0000, 0.5000, 0.5000).

As for the density of states at the Fermi level: 5.3 states/eV/f.u. Its volume is 86.1 Å³/cell. Its crystal system is monoclinic. The energy of formation from the pure elements comes out at 0.4 eV/f.u.

***

No. 2
VASP calculation (GGA-PBE) on crystalline Mn3Fe2 at its relaxed geometry.

It has space group C2/m (No. 12), with a = 12.2922 Å, b = 2.4521 Å, c = 7.5603 Å, α = 90.00°, β = 109.82° and γ = 90.00°. Symmetry generates all atoms from Mn at (0.0196, 0.0000, 0.2688), Mn at (0.0953, 0.5000, 0.0326), Mn at (0.1020, 0.5000, 0.5735), Fe at (0.1914, 0.0000, 0.8692) and Fe at (0.2104, 0.5000, 0.3577).

As for the density of states at the Fermi level: 7.4 states/eV/f.u. Its volume is 214.4 Å³/cell. Its crystal system is monoclinic. The energy of formation from the pure elements comes out at 0.8 eV/f.u.

***

No. 3
VASP calculation (GGA-PBE) on crystalline Mn3Fe at its relaxed geometry.

It has space group Cmmm (No. 65), with a = 5.0453 Å, b = 7.0140 Å, c = 2.5262 Å, α = 90.00°, β = 90.00° and γ = 90.00°. Symmetry generates all atoms from Mn at (0.0000, 0.0000, 0.0000), Mn at (0.2500, 0.2500, 0.5000) and Fe at (0.0000, 0.5000, 0.0000).

As for the density of states at the Fermi level: 5.3 states/eV/f.u. Its volume is 89.4 Å³/cell. Its crystal system is orthorhombic. The energy of formation from the pure elements comes out at 0.1 eV/f.u.

***

No. 4
VASP calculation (GGA-PBE) on crystalline MnFe8 at its relaxed geometry.

It has space group I4/mmm (No. 139), with a = 7.5252 Å, b = 7.5252 Å, c = 3.5036 Å, α = 90.00°, β = 90.00° and γ = 90.00°. Symmetry generates all atoms from Mn at (0.0000, 0.0000, 0.0000), Fe at (0.0000, 0.3294, 0.0000) and Fe at (0.1638, 0.1638, 0.5000).

As for the density of states at the Fermi level: 10.1 states/eV/f.u. Its volume is 198.4 Å³/cell. Its crystal system is tetragonal. The energy of formation from the pure elements comes out at 0.8 eV/f.u.

***

Result set for theoretical density: 8.51; 8.57; 8.20; 8.40 g/cm3, one per record in the order listed.